First-principles (PBE) data for a relaxed structure of Be2HgSe, as listed in the Alexandria database. Values from VASP.

Cell and atoms, written as Quantum ESPRESSO input:
```
&SYSTEM
  ibrav = 0, nat = 4, ntyp = 3
/
ATOMIC_SPECIES
Be 9.01 Be.upf
Hg 200.59 Hg.upf
Se 78.96 Se.upf
CELL_PARAMETERS angstrom
0.000 3.205 3.205
3.205 0.000 3.205
3.205 3.205 0.000
ATOMIC_POSITIONS crystal
Be 0.250 0.250 0.250
Be 0.750 0.750 0.750
Hg 0.000 0.000 0.000
Se 0.500 0.500 0.500
```

The energy comes out at -2.08 eV per atom. The value obtained for the formation energy without anion corrections is 2.9 eV per formula unit. For the total moment, the calculation gives 0.000 μB per formula unit. As for the space-group type: Fm-3m (225).